1.
CoReTe2, relaxed, DFT PBE-GGA; ΔE to the lowest computed polymorph = 495 meV per atom
1.0
-2.9340 2.9340 5.7634
2.9340 -2.9340 5.7634
2.9340 2.9340 -5.7634
Co Re Te
2 2 4
direct
0.0000 0.0000 0.0000
0.7500 0.2500 0.5000
0.2500 0.7500 0.5000
0.5000 0.5000 0.0000
0.1092 0.6250 0.9842
0.3750 0.3592 0.4842
0.6408 0.1250 0.0158
0.8750 0.8908 0.5158


2.
BaHg2F7, relaxed, DFT PBE-GGA; total energy = -3.56 eV/atom
1.0
3.6932 -5.5244 0.0000
3.6932 5.5244 0.0000
0.0000 0.0000 4.3151
Ba Hg F
1 2 7
direct
0.0000 0.0000 0.0000
0.3024 0.6976 0.5000
0.6976 0.3024 0.5000
0.0485 0.3044 0.5000
0.2805 0.7195 0.0000
0.3044 0.0485 0.5000
0.5000 0.5000 0.5000
0.6956 0.9515 0.5000
0.7195 0.2805 0.0000
0.9515 0.6956 0.5000


DOS(E_F) list, top to bottom, in states/eV/f.u.: 2.7 5.4
Magnetization list, top to bottom, in μB per formula unit: 0.8 0.0